Entry 1:
## Pr3Ag2Hg2 (PBE)

Data for an optimized crystal structure of Pr3Ag2Hg2.

- density of states at the Fermi level (states/eV per atom) = 1.09
- formation energy (eV per atom) = -0.2679
- crystal system = monoclinic

Lattice parameters (Å, degrees): 5.178 5.195 8.630 107.24 90.03 119.86
Fractional coordinates of all 7 atoms:
1 Ag 0.702 0.404 0.105
2 Ag 0.298 0.596 0.895
3 Pr 0.000 0.000 0.000
4 Pr 0.569 0.139 0.707
5 Pr 0.431 0.861 0.293
6 Hg 0.852 0.704 0.556
7 Hg 0.148 0.296 0.444



Entry 2:
## Pr4Ag3Hg (PBE)

Data for an optimized crystal structure of Pr4Ag3Hg.

- density of states at the Fermi level (states/eV per atom) = 1.09
- energy above the lowest structure with this stoichiometry (meV/atom) = 0
- formation energy (eV per atom) = -0.3021
- crystal system = orthorhombic

Lattice parameters (Å, degrees): 3.811 5.379 10.746 90.00 90.00 90.00
Each line ends with the local moment (μB).
Fractional coordinates of all 8 atoms:
1 Pr 0.000 0.000 0.500  0.06
2 Pr 0.000 0.000 0.000  0.11
3 Pr 0.000 0.500 0.747  0.08
4 Pr 0.000 0.500 0.253  0.08
5 Ag 0.500 0.500 0.500  0.01
6 Ag 0.500 0.000 0.749  0.01
7 Ag 0.500 0.000 0.251  0.01
8 Hg 0.500 0.500 0.000  0.01



Entry 3:
## Pr4AgHg3 (PBE)

Data for an optimized crystal structure of Pr4AgHg3.

- density of states at the Fermi level (states/eV per atom) = 0.94
- energy above the lowest structure with this stoichiometry (meV/atom) = 0
- formation energy (eV per atom) = -0.4186
- crystal system = tetragonal

Lattice parameters (Å, degrees): 5.443 5.443 8.570 108.49 108.51 90.00
Each line ends with the local moment (μB).
Fractional coordinates of all 8 atoms:
1 Ag 0.500 0.000 0.000  0.02
2 Pr 0.124 0.124 0.248  0.17
3 Pr 0.376 0.376 0.752  0.17
4 Pr 0.876 0.876 0.752  0.17
5 Pr 0.624 0.624 0.248  0.17
6 Hg 0.249 0.749 0.498  0.01
7 Hg 0.751 0.251 0.502  0.01
8 Hg 0.000 0.500 0.000  0.01